# 1
Cs2HgAuF6 | GGA-PBEsol | optimized geometry

Cell: 6.3908 6.3908 6.3908 Å, 60.00 60.00 60.00°
Fractional coordinates of all 10 atoms:
F1 0.7528 0.2472 0.2472
F2 0.2472 0.7528 0.2472
Au1 0.0000 0.0000 0.0000
Cs1 0.7500 0.7500 0.7500
F3 0.7528 0.2472 0.7528
Cs2 0.2500 0.2500 0.2500
F4 0.7528 0.7528 0.2472
Hg1 0.5000 0.5000 0.5000
F5 0.2472 0.7528 0.7528
F6 0.2472 0.2472 0.7528

Results
- D(E_F) (states/eV/f.u.) = 3.60
- uncorrected formation energy (eV/f.u.) = -17.99
- calculated volume (Å³ per cell) = 184.6

---

# 2
P2IrNCl | GGA-PBEsol | optimized geometry

Cell: 4.4751 4.4751 5.1278 Å, 90.00 90.00 90.00°
Last column: magnetic moment on the atom in μB.
Fractional coordinates of all 5 atoms:
N1 0.5000 0.5000 0.5000  1.74
P1 0.5000 0.0000 0.0000  -0.03
Ir1 0.0000 0.0000 0.0000  -0.09
P2 0.0000 0.5000 0.0000  -0.03
Cl1 0.0000 0.0000 0.5000  0.07

Results
- D(E_F) (states/eV/f.u.) = 2.88
- uncorrected formation energy (eV/f.u.) = 7.22
- calculated volume (Å³ per cell) = 102.7

---

# 3
ScSi4 | GGA-PBEsol | optimized geometry

Cell: 3.4785 4.9414 4.9414 Å, 82.88 69.39 69.39°
Fractional coordinates of all 5 atoms:
Si1 0.1867 0.4363 0.1903
Si2 0.8133 0.5637 0.8097
Sc1 0.0000 0.0000 0.0000
Si3 0.6230 0.1903 0.5637
Si4 0.3770 0.8097 0.4363

Results
- D(E_F) (states/eV/f.u.) = 1.59
- uncorrected formation energy (eV/f.u.) = -1.26
- calculated volume (Å³ per cell) = 74.4

---

# 4
KPtS2Cl | GGA-PBEsol | optimized geometry

Cell: 4.6696 4.6696 5.1459 Å, 90.00 90.00 90.00°
Last column: magnetic moment on the atom in μB.
Fractional coordinates of all 5 atoms:
S1 0.5000 0.0000 0.0000  0.26
K1 0.5000 0.5000 0.5000  0.00
Cl1 0.0000 0.0000 0.5000  0.01
Pt1 0.0000 0.0000 0.0000  0.28
S2 0.0000 0.5000 0.0000  0.26

Results
- D(E_F) (states/eV/f.u.) = 5.19
- uncorrected formation energy (eV/f.u.) = -1.90
- calculated volume (Å³ per cell) = 112.2

---

| no. | E (eV per cell) |
| --- | --- |
| 1 | -35.93 |
| 2 | -24.72 |
| 3 | -30.86 |
| 4 | -20.77 |